Here is a geometry-optimized AlHg2 structure from the Alexandria database. Energies are from PBE.

a = 7.3923 Å, b = 7.3923 Å, c = 6.1082 Å
α = 65.48°, β = 65.48°, γ = 26.48°
Last column: nearest neighbours and their distance in Å.
Sites, in units of the cell vectors:
Hg (0.6509, 0.6509, 0.3490)  4 Al 3.01, 4 Hg 3.05-3.09
Hg (0.3491, 0.3491, 0.1509)  4 Al 3.01, 4 Hg 3.05-3.09
Hg (0.6509, 0.6509, 0.8491)  4 Al 3.01, 4 Hg 3.05-3.09
Al (0.0000, 0.0000, 0.7499)  8 Hg 3.01, 2 Al 3.05
Al (0.0000, 0.0000, 0.2501)  8 Hg 3.01, 2 Al 3.05
Hg (0.3491, 0.3491, 0.6510)  4 Al 3.01, 4 Hg 3.05-3.09

## Properties
DOS(E_F)	0.420	states/eV per atom
total moment	0.000	μB per atom
DFT total energy	-1.30	eV per atom
energy of formation from the pure elements	14.0	kJ per mole of atoms


Here is a geometry-optimized Al3Hg structure from the Alexandria database. Energies are from PBE.

a = 5.1887 Å, b = 5.1887 Å, c = 5.1887 Å
α = 90.00°, β = 90.00°, γ = 90.00°
Last column: nearest neighbours and their distance in Å.
Sites, in units of the cell vectors:
Hg (0.0000, 0.0000, 0.0000)  6 Al 2.59
Al (0.0000, 0.0000, 0.5000)  2 Hg 2.59
Al (0.5000, 0.0000, 0.0000)  2 Hg 2.59
Al (0.0000, 0.5000, 0.0000)  2 Hg 2.59

## Properties
DOS(E_F)	0.647	states/eV per atom
offset from the most stable computed form	3.56	eV per formula unit
total moment	0.000	μB per atom
DFT total energy	-1.89	eV per atom
energy of formation from the pure elements	96.0	kJ per mole of atoms


Here is a geometry-optimized Al3Hg5 structure from the Alexandria database. Energies are from PBE.

a = 6.1428 Å, b = 6.1428 Å, c = 4.7237 Å
α = 90.00°, β = 90.00°, γ = 94.68°
Last column: nearest neighbours and their distance in Å.
Sites, in units of the cell vectors:
Al (0.5000, 0.5000, 0.0000)  8 Hg 3.02-3.07, 4 Al 3.35
Al (0.2374, 0.7626, 0.5000)  10 Hg 3.03-3.19, 2 Al 3.35
Hg (0.7257, 0.7257, 0.5000)  6 Al 3.02-3.13, 6 Hg 3.27-3.29
Hg (0.0000, 0.0000, 0.0000)  8 Hg 3.07-3.29, 4 Al 3.19
Hg (0.5000, 0.0000, 0.0000)  6 Hg 3.07-3.27, 6 Al 3.07-3.15
Hg (0.0000, 0.5000, 0.0000)  6 Hg 3.07-3.27, 6 Al 3.07-3.15
Hg (0.2743, 0.2743, 0.5000)  6 Al 3.02-3.13, 6 Hg 3.27-3.29
Al (0.7626, 0.2374, 0.5000)  10 Hg 3.03-3.19, 2 Al 3.35

## Properties
DOS(E_F)	0.265	states/eV per atom
offset from the most stable computed form	0.18	eV per formula unit
total moment	0.000	μB per atom
DFT total energy	-1.40	eV per atom
energy of formation from the pure elements	18.5	kJ per mole of atoms


Here is a geometry-optimized AlHg2 structure from the Alexandria database. Energies are from PBE.

a = 6.7047 Å, b = 6.7047 Å, c = 6.7047 Å
α = 90.00°, β = 90.00°, γ = 90.00°
Last column: nearest neighbours and their distance in Å.
Sites, in units of the cell vectors:
Hg (0.3561, 0.1439, 0.1439)  3 Al 2.75
Hg (0.8561, 0.3561, 0.8561)  3 Al 2.75
Al (0.5000, 0.5000, 0.0000)  6 Hg 2.75
Hg (0.6439, 0.6439, 0.3561)  3 Al 2.75
Al (0.5000, 0.0000, 0.5000)  6 Hg 2.75
Hg (0.1439, 0.6439, 0.1439)  3 Al 2.75
Al (0.0000, 0.5000, 0.5000)  6 Hg 2.75
Al (0.0000, 0.0000, 0.0000)  6 Hg 2.75
Hg (0.1439, 0.8561, 0.6439)  3 Al 2.75
Hg (0.3561, 0.3561, 0.6439)  3 Al 2.75
Hg (0.8561, 0.1439, 0.3561)  3 Al 2.75
Hg (0.6439, 0.8561, 0.8561)  3 Al 2.75

## Properties
DOS(E_F)	0.294	states/eV per atom
total moment	0.000	μB per atom
DFT total energy	-1.31	eV per atom
energy of formation from the pure elements	13.1	kJ per mole of atoms


Here is a geometry-optimized AlHg2 structure from the Alexandria database. Energies are from PBE.

a = 3.5829 Å, b = 3.5829 Å, c = 6.0941 Å
α = 90.00°, β = 90.00°, γ = 120.00°
Last column: nearest neighbours and their distance in Å.
Sites, in units of the cell vectors:
Al (0.0000, 0.0000, 0.0000)  6 Hg 2.81
Hg (0.3333, 0.6667, 0.3124)  3 Al 2.81, 3 Hg 3.08
Hg (0.6667, 0.3333, 0.6876)  3 Al 2.81, 3 Hg 3.08

## Properties
DOS(E_F)	0.369	states/eV per atom
total moment	0.000	μB per atom
DFT total energy	-1.33	eV per atom
energy of formation from the pure elements	11.5	kJ per mole of atoms


Here is a geometry-optimized Al3Hg structure from the Alexandria database. Energies are from PBE.

a = 2.9566 Å, b = 2.9566 Å, c = 10.0618 Å
α = 90.00°, β = 90.00°, γ = 120.00°
Last column: nearest neighbours and their distance in Å.
Sites, in units of the cell vectors:
Hg (0.6667, 0.3333, 0.7500)  6 Hg 2.96, 6 Al 3.18
Al (0.6667, 0.3333, 0.2500)  12 Al 2.90-2.96
Al (0.0000, 0.0000, 0.4831)  9 Al 2.90-2.96, 3 Hg 3.18
Al (0.0000, 0.0000, 0.0169)  9 Al 2.90-2.96, 3 Hg 3.18

## Properties
DOS(E_F)	0.398	states/eV per atom
offset from the most stable computed form	0.21	eV per formula unit
total moment	0.000	μB per atom
DFT total energy	-2.72	eV per atom
energy of formation from the pure elements	15.2	kJ per mole of atoms


Here is a geometry-optimized Al3Hg structure from the Alexandria database. Energies are from PBE.

a = 2.9116 Å, b = 4.3196 Å, c = 6.3255 Å
α = 90.00°, β = 90.00°, γ = 90.00°
Last column: nearest neighbours and their distance in Å.
Sites, in units of the cell vectors:
Hg (0.0000, 0.5000, 0.3072)  2 Hg 2.91, 6 Al 3.01-3.02
Al (0.0000, 0.0000, 0.9758)  8 Al 2.76-3.06, 2 Hg 3.01
Al (0.5000, 0.5000, 0.8338)  8 Al 2.76-2.91
Al (0.5000, 0.0000, 0.5498)  6 Al 2.81-3.06, 4 Hg 3.02

## Properties
DOS(E_F)	0.221	states/eV per atom
offset from the most stable computed form	0.34	eV per formula unit
total moment	0.000	μB per atom
DFT total energy	-2.69	eV per atom
energy of formation from the pure elements	18.3	kJ per mole of atoms


Here is a geometry-optimized Al3Hg structure from the Alexandria database. Energies are from PBE.

a = 5.3515 Å, b = 5.3515 Å, c = 5.3515 Å
α = 90.00°, β = 90.00°, γ = 90.00°
Last column: nearest neighbours and their distance in Å.
Sites, in units of the cell vectors:
Al (0.2500, 0.5000, 0.0000)  2 Al 2.68, 4 Hg 2.99
Al (0.0000, 0.2500, 0.5000)  2 Al 2.68, 4 Hg 2.99
Hg (0.0000, 0.0000, 0.0000)  12 Al 2.99
Hg (0.5000, 0.5000, 0.5000)  12 Al 2.99
Al (0.5000, 0.0000, 0.7500)  2 Al 2.68, 4 Hg 2.99
Al (0.5000, 0.0000, 0.2500)  2 Al 2.68, 4 Hg 2.99
Al (0.0000, 0.7500, 0.5000)  2 Al 2.68, 4 Hg 2.99
Al (0.7500, 0.5000, 0.0000)  2 Al 2.68, 4 Hg 2.99

## Properties
DOS(E_F)	0.571	states/eV per atom
offset from the most stable computed form	0.50	eV per formula unit
total moment	0.000	μB per atom
DFT total energy	-2.65	eV per atom
energy of formation from the pure elements	22.3	kJ per mole of atoms


Here is a geometry-optimized AlHg3 structure from the Alexandria database. Energies are from PBE.

a = 3.3376 Å, b = 3.3376 Å, c = 9.9208 Å
α = 90.00°, β = 90.00°, γ = 120.00°
Last column: nearest neighbours and their distance in Å.
Sites, in units of the cell vectors:
Al (0.0000, 0.0000, 0.0000)  6 Hg 2.98
Hg (0.6667, 0.3333, 0.2289)  3 Al 2.98, 3 Hg 3.31
Hg (0.0000, 0.0000, 0.5000)  12 Hg 3.31-3.34
Hg (0.6667, 0.3333, 0.7711)  3 Al 2.98, 3 Hg 3.31

## Properties
DOS(E_F)	0.402	states/eV per atom
total moment	0.000	μB per atom
DFT total energy	-1.02	eV per atom
energy of formation from the pure elements	13.2	kJ per mole of atoms


Here is a geometry-optimized AlHg6 structure from the Alexandria database. Energies are from PBE.

a = 7.0738 Å, b = 7.0738 Å, c = 7.0738 Å
α = 109.47°, β = 109.47°, γ = 109.47°
Last column: nearest neighbours and their distance in Å.
Sites, in units of the cell vectors:
Hg (0.5000, 0.2500, 0.7500)  4 Hg 2.89
Hg (0.2500, 0.7500, 0.5000)  4 Hg 2.89
Al (0.0000, 0.0000, 0.0000)  24 Hg 4.57
Hg (0.2500, 0.5000, 0.7500)  4 Hg 2.89
Hg (0.5000, 0.7500, 0.2500)  4 Hg 2.89
Hg (0.7500, 0.2500, 0.5000)  4 Hg 2.89
Hg (0.7500, 0.5000, 0.2500)  4 Hg 2.89

## Properties
DOS(E_F)	0.570	states/eV per atom
total moment	0.000	μB per atom
DFT total energy	-0.33	eV per atom
energy of formation from the pure elements	44.7	kJ per mole of atoms


Here is a geometry-optimized AlHg2 structure from the Alexandria database. Energies are from PBE.

a = 3.2729 Å, b = 6.9010 Å, c = 6.4275 Å
α = 90.00°, β = 90.00°, γ = 90.00°
Last column: nearest neighbours and their distance in Å.
Sites, in units of the cell vectors:
Hg (0.5000, 0.6883, 0.8705)  3 Al 2.71-2.83
Hg (0.0000, 0.1883, 0.6295)  3 Al 2.71-2.83
Al (0.5000, 0.5000, 0.5000)  6 Hg 2.71-2.83
Hg (0.0000, 0.8117, 0.3705)  3 Al 2.71-2.83
Hg (0.5000, 0.3117, 0.1295)  3 Al 2.71-2.83
Al (0.0000, 0.0000, 0.0000)  6 Hg 2.71-2.83

## Properties
DOS(E_F)	0.436	states/eV per atom
total moment	0.000	μB per atom
DFT total energy	-1.32	eV per atom
energy of formation from the pure elements	12.0	kJ per mole of atoms


Here is a geometry-optimized Al3Hg structure from the Alexandria database. Energies are from PBE.

a = 9.4023 Å, b = 9.4023 Å, c = 9.4023 Å
α = 154.82°, β = 154.82°, γ = 35.91°
Last column: nearest neighbours and their distance in Å.
Sites, in units of the cell vectors:
Al (0.1270, 0.1270, 0.0000)  4 Hg 2.90, 8 Al 3.01-3.06
Hg (0.6230, 0.6230, 0.0000)  12 Al 2.90-3.06
Al (0.2500, 0.7500, 0.5000)  8 Al 2.90-3.01, 4 Hg 3.06
Al (0.8730, 0.8730, 0.0000)  4 Hg 2.90, 8 Al 3.01-3.06
Al (0.5000, 0.0000, 0.5000)  8 Al 2.90-3.06, 4 Hg 3.01
Hg (0.3770, 0.3770, 0.0000)  12 Al 2.90-3.06
Al (0.7500, 0.2500, 0.5000)  8 Al 2.90-3.01, 4 Hg 3.06
Al (0.0000, 0.5000, 0.5000)  8 Al 2.90-3.06, 4 Hg 3.01

## Properties
DOS(E_F)	0.457	states/eV per atom
offset from the most stable computed form	0.30	eV per formula unit
total moment	0.000	μB per atom
DFT total energy	-2.70	eV per atom
energy of formation from the pure elements	17.4	kJ per mole of atoms


Which of these has the highest energy of formation from the pure elements? number 2


Which of these has the lowest DFT total energy? number 6


What is the DFT total energy in the first record? -1.30 eV per atom